Computed, not measured: a geometry-optimized Sc2MnTe structure at the GGA-PBE level of DFT. Values from VASP.

Values from the calculation:
crystal system = tetragonal
density of states at the Fermi level = 3.3 states/eV per cell
E_form (uncorrected) = -303 meV/atom

Cell and atoms, written as Quantum ESPRESSO input:
```
&SYSTEM
  ibrav = 0, nat = 4, ntyp = 3
/
ATOMIC_SPECIES
Sc 44.96 Sc.upf
Mn 54.94 Mn.upf
Te 127.60 Te.upf
CELL_PARAMETERS angstrom
5.302 0.005 -0.044
1.798 4.988 0.044
-3.527 -2.529 3.046
ATOMIC_POSITIONS crystal
Sc 0.000 0.000 0.000
Mn 0.250 0.750 0.500
Te 0.750 0.250 0.500
Sc 0.500 0.500 0.000
```